(1)
PaZnGe2 after structural relaxation, computed with PBE-GGA.

Unit cell a=3.496 b=3.496 c=6.343 alpha=90.00 beta=90.00 gamma=90.00
Positions (direct):
Pa  0.000  0.000  0.000
Zn  0.000  0.000  0.500
Ge  0.500  0.500  0.293
Ge  0.500  0.500  0.707

The calculation puts the total DFT energy (no corrections) at -5.100 eV per atom.

***

(2)
Pa2ZnGe after structural relaxation, computed with PBE-GGA.

Unit cell a=4.991 b=4.991 c=4.991 alpha=60.00 beta=60.00 gamma=60.00
Positions (direct):
Pa  0.250  0.250  0.250
Pa  0.750  0.750  0.750
Zn  0.000  0.000  0.000
Ge  0.500  0.500  0.500

The calculation puts the total DFT energy (no corrections) at -6.277 eV per atom. The energy relative to the lowest polymorph listed for this composition comes out at 3.47 kcal/mol of atoms.

***

- Which formula does entry 2 have?
  Pa2ZnGe

***

- Among the records above, which one has the lowest total DFT energy (no corrections)?
  Pa2ZnGe